Record 1
# La2NiSn

An optimized crystal structure of La2NiSn (PBE, the Open Quantum Materials Database).

Output
The total energy comes out at -5.349 eV per atom. The calculation puts the total magnetization at 0.01 Bohr magnetons per cell.

The structure in CIF format:
```
data_La2NiSn
_cell_length_a 4.450
_cell_length_b 6.145
_cell_length_c 6.145
_cell_angle_alpha 40.97
_cell_angle_beta 90.00
_cell_angle_gamma 90.00
_space_group_name_H-M_alt 'P 1'
_space_group_IT_number 1
_space_group_name_Hall 'P 1'
loop_
_atom_site_label
_atom_site_fract_x
_atom_site_fract_y
_atom_site_fract_z
La1 0.000 0.140 0.140
La2 0.500 0.851 0.851
Ni1 0.500 0.577 0.577
Sn1 0.000 0.432 0.432
```

Record 2
# LaTaNi2Sn2

An optimized crystal structure of LaTaNi2Sn2 (PBE, the Open Quantum Materials Database).

Output
The total energy comes out at -6.412 eV per atom. The calculation puts the total magnetization at 0.00 Bohr magnetons per cell.

The structure in CIF format:
```
data_LaTaNi2Sn2
_cell_length_a 4.380
_cell_length_b 6.356
_cell_length_c 9.034
_cell_angle_alpha 90.00
_cell_angle_beta 90.00
_cell_angle_gamma 90.00
_space_group_name_H-M_alt 'P 1'
_space_group_IT_number 1
_space_group_name_Hall 'P 1'
loop_
_atom_site_label
_atom_site_fract_x
_atom_site_fract_y
_atom_site_fract_z
La1 0.000 0.000 0.381
La2 0.500 0.500 0.619
Ni1 0.000 0.739 0.106
Ni2 0.500 0.272 0.337
Ni3 0.000 0.772 0.663
Ni4 0.500 0.239 0.894
Sn1 0.500 0.986 0.113
Sn2 0.000 0.504 0.348
Sn3 0.500 0.004 0.652
Sn4 0.000 0.486 0.887
Ta1 0.500 0.499 0.120
Ta2 0.000 0.999 0.880
```

Record 3
# LaYNi4Sn2

An optimized crystal structure of LaYNi4Sn2 (PBE, the Open Quantum Materials Database).

Output
The total energy comes out at -5.713 eV per atom. The calculation puts the total magnetization at 0.01 Bohr magnetons per cell.

The structure in CIF format:
```
data_LaYNi4Sn2
_cell_length_a 4.405
_cell_length_b 4.405
_cell_length_c 8.999
_cell_angle_alpha 90.00
_cell_angle_beta 90.00
_cell_angle_gamma 120.00
_space_group_name_H-M_alt 'P 1'
_space_group_IT_number 1
_space_group_name_Hall 'P 1'
loop_
_atom_site_label
_atom_site_fract_x
_atom_site_fract_y
_atom_site_fract_z
La1 0.000 0.000 0.000
Ni1 0.667 0.333 0.188
Ni2 0.000 0.000 0.332
Ni3 0.000 0.000 0.668
Ni4 0.667 0.333 0.812
Sn1 0.333 0.667 0.265
Sn2 0.333 0.667 0.735
Y1 0.667 0.333 0.500
```

Record 4
# LaTbNi4

An optimized crystal structure of LaTbNi4 (PBE, the Open Quantum Materials Database).

Output
The total energy comes out at -5.341 eV per atom. The calculation puts the total magnetization at 0.02 Bohr magnetons per cell.

The structure in CIF format:
```
data_LaTbNi4
_cell_length_a 5.447
_cell_length_b 5.447
_cell_length_c 8.098
_cell_angle_alpha 90.00
_cell_angle_beta 90.00
_cell_angle_gamma 120.00
_space_group_name_H-M_alt 'P 1'
_space_group_IT_number 1
_space_group_name_Hall 'P 1'
loop_
_atom_site_label
_atom_site_fract_x
_atom_site_fract_y
_atom_site_fract_z
La1 0.000 0.000 0.000
La2 0.000 0.000 0.500
Ni1 0.667 0.333 0.000
Ni2 0.333 0.667 0.000
Ni3 0.500 0.000 0.225
Ni4 0.000 0.500 0.225
Ni5 0.500 0.500 0.225
Ni6 0.500 0.000 0.775
Ni7 0.000 0.500 0.775
Ni8 0.500 0.500 0.775
Tb1 0.667 0.333 0.500
Tb2 0.333 0.667 0.500
```

Record 5
# LaTb2Ni9

An optimized crystal structure of LaTb2Ni9 (PBE, the Open Quantum Materials Database).

Output
The total energy comes out at -5.744 eV per atom. The calculation puts the total magnetization at 0.52 Bohr magnetons per cell.

The structure in CIF format:
```
data_LaTb2Ni9
_cell_length_a 8.627
_cell_length_b 8.627
_cell_length_c 8.627
_cell_angle_alpha 33.72
_cell_angle_beta 33.72
_cell_angle_gamma 33.72
_space_group_name_H-M_alt 'P 1'
_space_group_IT_number 1
_space_group_name_Hall 'P 1'
loop_
_atom_site_label
_atom_site_fract_x
_atom_site_fract_y
_atom_site_fract_z
La1 0.000 0.000 0.000
Ni1 0.584 0.584 0.083
Ni2 0.333 0.333 0.333
Ni3 0.917 0.416 0.416
Ni4 0.416 0.917 0.416
Ni5 0.500 0.500 0.500
Ni6 0.584 0.083 0.584
Ni7 0.083 0.584 0.584
Ni8 0.667 0.667 0.667
Ni9 0.416 0.416 0.917
Tb1 0.140 0.140 0.140
Tb2 0.860 0.860 0.860
```

Record 6
# LaTbTlNi2

An optimized crystal structure of LaTbTlNi2 (PBE, the Open Quantum Materials Database).

Output
The total energy comes out at -5.050 eV per atom. The calculation puts the total magnetization at 0.01 Bohr magnetons per cell.

The structure in CIF format:
```
data_LaTbTlNi2
_cell_length_a 3.763
_cell_length_b 7.599
_cell_length_c 7.599
_cell_angle_alpha 30.46
_cell_angle_beta 90.00
_cell_angle_gamma 90.00
_space_group_name_H-M_alt 'P 1'
_space_group_IT_number 1
_space_group_name_Hall 'P 1'
loop_
_atom_site_label
_atom_site_fract_x
_atom_site_fract_y
_atom_site_fract_z
La1 0.000 0.361 0.361
Ni1 0.500 0.199 0.199
Ni2 0.500 0.797 0.797
Tb1 0.000 0.638 0.638
Tl1 0.500 0.005 0.005
```

Record 7
# LaThNi

An optimized crystal structure of LaThNi (PBE, the Open Quantum Materials Database).

Output
The calculation puts the excess energy over the best structure of this formula in the dataset at 0 meV per atom. The total energy comes out at -5.943 eV per atom. The calculation puts the total magnetization at 0.36 Bohr magnetons per cell.

The structure in CIF format:
```
data_LaThNi
_cell_length_a 4.876
_cell_length_b 4.876
_cell_length_c 4.876
_cell_angle_alpha 60.00
_cell_angle_beta 60.00
_cell_angle_gamma 60.00
_space_group_name_H-M_alt 'P 1'
_space_group_IT_number 1
_space_group_name_Hall 'P 1'
loop_
_atom_site_label
_atom_site_fract_x
_atom_site_fract_y
_atom_site_fract_z
La1 0.250 0.250 0.250
Ni1 0.000 0.000 0.000
Th1 0.750 0.750 0.750
```

Record 8
# LaTlNi2

An optimized crystal structure of LaTlNi2 (PBE, the Open Quantum Materials Database).

Output
The total energy comes out at -4.445 eV per atom. The calculation puts the total magnetization at 0.06 Bohr magnetons per cell.

The structure in CIF format:
```
data_LaTlNi2
_cell_length_a 4.877
_cell_length_b 4.877
_cell_length_c 4.877
_cell_angle_alpha 60.00
_cell_angle_beta 60.00
_cell_angle_gamma 60.00
_space_group_name_H-M_alt 'P 1'
_space_group_IT_number 1
_space_group_name_Hall 'P 1'
loop_
_atom_site_label
_atom_site_fract_x
_atom_site_fract_y
_atom_site_fract_z
La1 0.250 0.250 0.250
Ni1 0.000 0.000 0.000
Ni2 0.750 0.750 0.750
Tl1 0.500 0.500 0.500
```